Material: CaCoMo2
Method: DFT, GGA-PBE
State: relaxed

Lattice parameters (Å, degrees): 5.4507 5.4507 5.4507 139.63 139.63 58.42
With the nearest neighbours (Å) after each atom.
Fractional positions:
Ca  0.0000  0.0000  0.0000  4 Co 2.66
Co  0.5000  0.5000  0.0000  4 Ca 2.66
Mo  0.2500  0.7500  0.5000  4 Mo 2.66
Mo  0.7500  0.2500  0.5000  4 Mo 2.66

**ΔE to the lowest computed polymorph**: 285.5 meV per atom
**DFT formation energy**: 0.7099 eV/atom
**Symmetry**: No. 139
**Fermi-level density of states**: 4.928 states/eV/cell